# PBE with a Hubbard U MgW4O6, relaxed
data_MgW4O6
_chemical_formula_sum 'Mg4 W16 O24'
_symmetry_space_group_name_H-M 'C m c m'
_symmetry_Int_Tables_number 63
_symmetry_space_group_name_Hall '-C 2c 2'
_cell_length_a 3.226
_cell_length_b 10.481
_cell_length_c 16.692
_cell_angle_alpha 90.00
_cell_angle_beta 90.00
_cell_angle_gamma 90.00
loop_
_atom_site_label
_atom_site_type_symbol
_atom_site_fract_x
_atom_site_fract_y
_atom_site_fract_z
Mg1 Mg 0.000 0.165 0.250
W1 W 0.000 0.137 0.633
W2 W 0.000 0.369 0.554
O1 O 0.000 0.000 0.000
O2 O 0.000 0.209 0.129
O3 O 0.000 0.217 0.750
O4 O 0.000 0.493 0.150
# Total moment (μB per cell): 29.105
# DFT total energy (eV per cell): -294.31